The following is a DFT calculation (PBE with a Hubbard U) of a relaxed RbTmCoO3 crystal.

Unit cell a=7.6037 b=3.5037 c=9.1573 alpha=90.00 beta=111.91 gamma=90.00
Positions (direct):
1 Rb 0.2108 0.2500 0.1925
2 Rb 0.7892 0.7500 0.8075
3 Tm 0.3320 0.7500 0.8608
4 Tm 0.6680 0.2500 0.1392
5 Co 0.0510 0.2500 0.6190
6 Co 0.9490 0.7500 0.3810
7 O 0.1264 0.2500 0.8457
8 O 0.1646 0.7500 0.5893
9 O 0.4719 0.7500 0.1189
10 O 0.5281 0.2500 0.8811
11 O 0.8354 0.2500 0.4107
12 O 0.8736 0.7500 0.1543

## Properties
The total energy is -76.36 eV/cell. Its space group is P2_1/m (11). The volume is 226 Å³ per cell.